First-principles (PBE) data for a relaxed structure of Tl2ReBr, as listed in Alexandria.

a = 6.7310 Å, b = 6.7310 Å, c = 6.7310 Å
α = 143.04°, β = 143.04°, γ = 53.27°
With the nearest neighbours (Å) after each atom.
Positions (direct):
1 Tl 0.0000 0.0000 0.0000  4 Re 3.02
2 Tl 0.7500 0.2500 0.5000  4 Br 3.02
3 Re 0.5000 0.5000 0.0000  4 Tl 3.02
4 Br 0.2500 0.7500 0.5000  4 Tl 3.02

Summary:
Formation energy from raw total energies: 1.011 eV per atom
Distance to the lowest polymorph of the same formula: 400.4 meV per atom